one:
VASP calculation (GGA-PBE) on a relaxed structure of CSeS2Cl.

Cell lengths 4.8746, 4.8746, 4.8275 Å; angles 90.00, 90.00, 90.00 degrees
Last column: nearest neighbours and their distance in Å.
Sites, in units of the cell vectors:
Se (0.0000, 0.0000, 0.0000)  2 Cl 2.41, 4 S 2.44
S (0.0000, 0.5000, 0.0000)  2 Se 2.44
S (0.5000, 0.0000, 0.0000)  2 Se 2.44
Cl (0.0000, 0.0000, 0.5000)  2 Se 2.41
C (0.5000, 0.5000, 0.5000)  8 S 3.43, 4 Cl 3.45

As for the crystal system: tetragonal. The calculation puts the total moment at 0.7 μB/f.u.


two:
VASP calculation (GGA-PBE) on a relaxed structure of CSeS2Cl.

Cell lengths 4.2446, 4.2446, 4.3144 Å; angles 90.00, 90.00, 90.00 degrees
Last column: nearest neighbours and their distance in Å.
Sites, in units of the cell vectors:
S (0.5000, 0.0000, 0.0000)  2 C 2.12
S (0.0000, 0.5000, 0.0000)  2 C 2.12
Se (0.5000, 0.5000, 0.5000)  4 Cl 3.00, 8 S 3.03
C (0.0000, 0.0000, 0.0000)  4 S 2.12, 2 Cl 2.16
Cl (0.0000, 0.0000, 0.5000)  2 C 2.16

As for the crystal system: tetragonal. The calculation puts the total moment at 0.0 μB/f.u.


Stability, highest: two


one:
VASP calculation (GGA-PBE) on a relaxed structure of SiCSCl2.

Cell lengths 4.5957, 4.5957, 4.7218 Å; angles 90.00, 90.00, 90.00 degrees
Last column: nearest neighbours and their distance in Å.
Sites, in units of the cell vectors:
Cl (0.0000, 0.5000, 0.0000)  2 Si 2.30
Cl (0.5000, 0.0000, 0.0000)  2 Si 2.30
C (0.5000, 0.5000, 0.5000)  4 S 3.25, 8 Cl 3.29
S (0.0000, 0.0000, 0.5000)  2 Si 2.36
Si (0.0000, 0.0000, 0.0000)  4 Cl 2.30, 2 S 2.36

As for the crystal system: tetragonal. The calculation puts the total moment at 1.2 μB/f.u.


two:
VASP calculation (GGA-PBE) on a relaxed structure of SiCSCl2.

Cell lengths 4.4425, 4.4425, 4.1998 Å; angles 90.00, 90.00, 90.00 degrees
Last column: nearest neighbours and their distance in Å.
Sites, in units of the cell vectors:
S (0.0000, 0.0000, 0.5000)  2 C 2.10
Cl (0.0000, 0.5000, 0.0000)  2 C 2.22
Cl (0.5000, 0.0000, 0.0000)  2 C 2.22
Si (0.5000, 0.5000, 0.5000)  8 Cl 3.06, 4 S 3.14
C (0.0000, 0.0000, 0.0000)  2 S 2.10, 4 Cl 2.22

As for the crystal system: tetragonal. The calculation puts the total moment at 0.0 μB/f.u.


Stability, highest: two


one:
VASP calculation (GGA-PBE) on a relaxed structure of SnCS2Cl.

Cell lengths 4.2006, 4.2006, 4.9659 Å; angles 90.00, 90.00, 90.00 degrees
Last column: nearest neighbours and their distance in Å.
Sites, in units of the cell vectors:
S (0.5000, 0.0000, 0.0000)  2 C 2.10
S (0.0000, 0.5000, 0.0000)  2 C 2.10
C (0.0000, 0.0000, 0.0000)  4 S 2.10
Sn (0.5000, 0.5000, 0.5000)  4 Cl 2.97, 8 S 3.25
Cl (0.0000, 0.0000, 0.5000)  2 C 2.48

As for the crystal system: tetragonal. The calculation puts the total moment at 0.0 μB/f.u.


two:
VASP calculation (GGA-PBE) on a relaxed structure of SnCS2Cl.

Cell lengths 5.0438, 5.0438, 5.0624 Å; angles 90.00, 90.00, 90.00 degrees
Last column: nearest neighbours and their distance in Å.
Sites, in units of the cell vectors:
S (0.0000, 0.5000, 0.0000)  2 Sn 2.52
S (0.5000, 0.0000, 0.0000)  2 Sn 2.52
C (0.5000, 0.5000, 0.5000)  4 Cl 3.57, 8 S 3.57
Cl (0.0000, 0.0000, 0.5000)  2 Sn 2.53
Sn (0.0000, 0.0000, 0.0000)  4 S 2.52, 2 Cl 2.53

As for the crystal system: tetragonal. The calculation puts the total moment at 0.7 μB/f.u.


Stability, highest: one


one:
VASP calculation (GGA-PBE) on a relaxed structure of SrCS2Cl.

Cell lengths 5.7706, 5.7706, 5.4449 Å; angles 90.00, 90.00, 90.00 degrees
Last column: nearest neighbours and their distance in Å.
Sites, in units of the cell vectors:
Sr (0.0000, 0.0000, 0.0000)  2 Cl 2.72, 4 S 2.89
S (0.0000, 0.5000, 0.0000)  2 Sr 2.89
S (0.5000, 0.0000, 0.0000)  2 Sr 2.89
C (0.5000, 0.5000, 0.5000)  8 S 3.97, 4 Cl 4.08
Cl (0.0000, 0.0000, 0.5000)  2 Sr 2.72

As for the crystal system: tetragonal. The calculation puts the total moment at 0.8 μB/f.u.


two:
VASP calculation (GGA-PBE) on a relaxed structure of SrCS2Cl.

Cell lengths 4.2049, 4.2049, 5.2731 Å; angles 90.00, 90.00, 90.00 degrees
Last column: nearest neighbours and their distance in Å.
Sites, in units of the cell vectors:
Sr (0.5000, 0.5000, 0.5000)  4 Cl 2.97
S (0.0000, 0.5000, 0.0000)  2 C 2.10
S (0.5000, 0.0000, 0.0000)  2 C 2.10
Cl (0.0000, 0.0000, 0.5000)  2 C 2.64
C (0.0000, 0.0000, 0.0000)  4 S 2.10

As for the crystal system: tetragonal. The calculation puts the total moment at 0.0 μB/f.u.


Stability, highest: two


one:
VASP calculation (GGA-PBE) on a relaxed structure of TaCSCl2.

Cell lengths 4.8549, 4.8549, 4.7372 Å; angles 90.00, 90.00, 90.00 degrees
Last column: nearest neighbours and their distance in Å.
Sites, in units of the cell vectors:
C (0.5000, 0.5000, 0.5000)  8 Cl 3.39, 4 S 3.43
Cl (0.0000, 0.5000, 0.0000)  2 Ta 2.43
Cl (0.5000, 0.0000, 0.0000)  2 Ta 2.43
S (0.0000, 0.0000, 0.5000)  2 Ta 2.37
Ta (0.0000, 0.0000, 0.0000)  2 S 2.37, 4 Cl 2.43

As for the crystal system: tetragonal. The calculation puts the total moment at 2.2 μB/f.u.


two:
VASP calculation (GGA-PBE) on a relaxed structure of TaCSCl2.

Cell lengths 4.1557, 4.3870, 4.1557 Å; angles 90.00, 90.00, 90.00 degrees
Last column: nearest neighbours and their distance in Å.
Sites, in units of the cell vectors:
Ta (0.5000, 0.5000, 0.5000)  4 S 2.94, 8 Cl 3.02
Cl (0.0000, 0.0000, 0.5000)  2 C 2.08
Cl (0.5000, 0.0000, 0.0000)  2 C 2.08
C (0.0000, 0.0000, 0.0000)  4 Cl 2.08, 2 S 2.19
S (0.0000, 0.5000, 0.0000)  2 C 2.19

As for the crystal system: tetragonal. The calculation puts the total moment at 2.2 μB/f.u.


Stability, highest: one


one:
VASP calculation (GGA-PBE) on a relaxed structure of TcCSCl2.

Cell lengths 4.8533, 4.8533, 4.5128 Å; angles 90.00, 90.00, 90.00 degrees
Last column: nearest neighbours and their distance in Å.
Sites, in units of the cell vectors:
Cl (0.5000, 0.0000, 0.0000)  2 Tc 2.43
Cl (0.0000, 0.5000, 0.0000)  2 Tc 2.43
Tc (0.0000, 0.0000, 0.0000)  2 S 2.26, 4 Cl 2.43
C (0.5000, 0.5000, 0.5000)  8 Cl 3.31, 4 S 3.43
S (0.0000, 0.0000, 0.5000)  2 Tc 2.26

As for the crystal system: tetragonal. The calculation puts the total moment at 2.9 μB/f.u.


two:
VASP calculation (GGA-PBE) on a relaxed structure of TcCSCl2.

Cell lengths 4.1941, 4.1941, 4.0920 Å; angles 90.00, 90.00, 90.00 degrees
Last column: nearest neighbours and their distance in Å.
Sites, in units of the cell vectors:
Cl (0.0000, 0.5000, 0.0000)  2 C 2.10
Cl (0.5000, 0.0000, 0.0000)  2 C 2.10
C (0.0000, 0.0000, 0.0000)  2 S 2.05, 4 Cl 2.10
Tc (0.5000, 0.5000, 0.5000)  8 Cl 2.93, 4 S 2.97
S (0.0000, 0.0000, 0.5000)  2 C 2.05

As for the crystal system: tetragonal. The calculation puts the total moment at 0.0 μB/f.u.


Stability, highest: one


one:
VASP calculation (GGA-PBE) on a relaxed structure of TcCS2Cl.

Cell lengths 4.5409, 4.5409, 4.9430 Å; angles 90.00, 90.00, 90.00 degrees
Last column: nearest neighbours and their distance in Å.
Sites, in units of the cell vectors:
S (0.5000, 0.0000, 0.0000)  2 Tc 2.27
S (0.0000, 0.5000, 0.0000)  2 Tc 2.27
Tc (0.0000, 0.0000, 0.0000)  4 S 2.27, 2 Cl 2.47
Cl (0.0000, 0.0000, 0.5000)  2 Tc 2.47
C (0.5000, 0.5000, 0.5000)  4 Cl 3.21, 8 S 3.36

As for the crystal system: tetragonal. The calculation puts the total moment at 1.5 μB/f.u.


two:
VASP calculation (GGA-PBE) on a relaxed structure of TcCS2Cl.

Cell lengths 4.0390, 4.0390, 4.1227 Å; angles 90.00, 90.00, 90.00 degrees
Last column: nearest neighbours and their distance in Å.
Sites, in units of the cell vectors:
S (0.0000, 0.5000, 0.0000)  2 C 2.02
S (0.5000, 0.0000, 0.0000)  2 C 2.02
Tc (0.5000, 0.5000, 0.5000)  4 Cl 2.86, 8 S 2.89
Cl (0.0000, 0.0000, 0.5000)  2 C 2.06
C (0.0000, 0.0000, 0.0000)  4 S 2.02, 2 Cl 2.06

As for the crystal system: tetragonal. The calculation puts the total moment at 0.0 μB/f.u.


Stability, highest: one


one:
VASP calculation (GGA-PBE) on a relaxed structure of TeCS2Cl.

Cell lengths 4.3516, 4.3516, 4.3275 Å; angles 90.00, 90.00, 90.00 degrees
Last column: nearest neighbours and their distance in Å.
Sites, in units of the cell vectors:
S (0.5000, 0.0000, 0.0000)  2 C 2.18
S (0.0000, 0.5000, 0.0000)  2 C 2.18
Cl (0.0000, 0.0000, 0.5000)  2 C 2.16
C (0.0000, 0.0000, 0.0000)  2 Cl 2.16, 4 S 2.18
Te (0.5000, 0.5000, 0.5000)  8 S 3.07, 4 Cl 3.08

As for the crystal system: tetragonal. The calculation puts the total moment at 0.0 μB/f.u.


two:
VASP calculation (GGA-PBE) on a relaxed structure of TeCS2Cl.

Cell lengths 5.1077, 5.1077, 5.1656 Å; angles 90.00, 90.00, 90.00 degrees
Last column: nearest neighbours and their distance in Å.
Sites, in units of the cell vectors:
Te (0.0000, 0.0000, 0.0000)  4 S 2.55, 2 Cl 2.58
C (0.5000, 0.5000, 0.5000)  4 Cl 3.61, 8 S 3.63
S (0.0000, 0.5000, 0.0000)  2 Te 2.55
S (0.5000, 0.0000, 0.0000)  2 Te 2.55
Cl (0.0000, 0.0000, 0.5000)  2 Te 2.58

As for the crystal system: tetragonal. The calculation puts the total moment at 1.1 μB/f.u.


Stability, highest: one